[1]
# LaTbCuRu

A relaxed structure of LaTbCuRu (PBE, Alexandria via LeMat-Bulk).

Cell and atoms, written as POSCAR:
```
LaTbCuRu
1.0
-1.2912 -1.8517 -3.2070
1.1383 -3.8989 1.7928
-4.0930 0.5258 3.7424
Tb La Cu Ru
1 1 1 1
direct
0.8650 0.5000 0.7300 Tb
0.1506 0.0000 0.3013 La
0.5704 0.5000 0.1407 Cu
0.4140 0.0000 0.8280 Ru
```

Output
Density of states at the Fermi level ... 0.807 states/eV per atom
Relative energy among the computed polymorphs ... 0.0 meV per atom
Formation energy ... -94 kJ/mol of formula units
E ... -5.977 eV/atom

***

[2]
# TmHf3

A relaxed structure of TmHf3 (PBE, Alexandria via LeMat-Bulk).

Cell and atoms, written as POSCAR:
```
TmHf3
1.0
-1.0030 3.1929 3.1166
0.7993 -3.0141 3.3451
4.4511 1.1773 -3.1288
Hf Tm
3 1
direct
0.5000 0.5000 0.0000 Hf
0.2500 0.7500 0.5000 Hf
0.7500 0.2500 0.5000 Hf
0.0000 0.0000 0.0000 Tm
```

Output
Density of states at the Fermi level ... 1.581 states/eV per atom
Relative energy among the computed polymorphs ... 99.0 meV per atom
Formation energy ... 58 kJ/mol of formula units
E ... -8.432 eV/atom

***

[3]
# Ce2InBr8

A relaxed structure of Ce2InBr8 (PBE, Alexandria via LeMat-Bulk).

Cell and atoms, written as POSCAR:
```
Ce2InBr8
1.0
-1.6031 -4.5813 -3.2312
-1.8482 -3.2717 7.1303
-5.8210 4.9524 -2.5592
Br Ce In
8 2 1
direct
0.9189 0.9411 0.6725 Br
0.9189 0.6725 0.9411 Br
0.5000 0.2529 0.7471 Br
0.0811 0.3275 0.0589 Br
0.0811 0.0589 0.3275 Br
0.5000 0.7471 0.2529 Br
0.2849 0.6032 0.6032 Br
0.7151 0.3968 0.3968 Br
0.0000 0.6820 0.3180 Ce
0.0000 0.3180 0.6820 Ce
0.5000 0.0000 0.0000 In
```

Output
Density of states at the Fermi level ... 0.987 states/eV per atom
Relative energy among the computed polymorphs ... 40.8 meV per atom
E ... -4.019 eV/atom
Formation energy without anion corrections ... -1.47 eV per atom

***

[4]
# MgCuBSe2

A relaxed structure of MgCuBSe2 (PBE, Alexandria via LeMat-Bulk).

Cell and atoms, written as POSCAR:
```
MgCuBSe2
1.0
5.0017 0.0000 0.0000
0.0000 5.0017 0.0000
0.0000 0.0000 4.7585
Mg Se B Cu
1 2 1 1
direct
0.0000 0.0000 0.0000 Mg
0.0000 0.5000 0.0000 Se
0.5000 0.0000 0.0000 Se
0.5000 0.5000 0.5000 B
0.0000 0.0000 0.5000 Cu
```

Output
Density of states at the Fermi level ... 0.489 states/eV per atom
E ... -2.638 eV/atom
Formation energy without anion corrections ... 1.23 eV per atom

***

[5]
# Tl2Ir2Pb

A relaxed structure of Tl2Ir2Pb (PBE, Alexandria via LeMat-Bulk).

Cell and atoms, written as POSCAR:
```
Tl2Ir2Pb
1.0
-3.8183 6.2720 -3.3818
-6.9483 -2.4268 3.3445
0.6233 1.7702 2.5794
Ir Pb Tl
4 2 4
direct
0.3620 0.8620 0.0000 Ir
0.8620 0.6380 0.0000 Ir
0.1380 0.3620 0.0000 Ir
0.6380 0.1380 0.0000 Ir
0.0000 0.0000 0.0000 Pb
0.5000 0.5000 0.0000 Pb
0.1583 0.6583 0.5000 Tl
0.6583 0.8417 0.5000 Tl
0.3417 0.1583 0.5000 Tl
0.8417 0.3417 0.5000 Tl
```

Output
Density of states at the Fermi level ... 0.789 states/eV per atom
Formation energy ... 211 kJ/mol of formula units
E ... -4.796 eV/atom

***

[6]
# CaNdErMg

A relaxed structure of CaNdErMg (PBE, Alexandria via LeMat-Bulk).

Cell and atoms, written as POSCAR:
```
CaNdErMg
1.0
5.6257 0.0000 0.0000
2.8129 4.8720 0.0000
2.8129 1.6240 4.5934
Er Ca Mg Nd
1 1 1 1
direct
0.0000 0.0000 0.0000 Er
0.2500 0.2500 0.2500 Ca
0.7500 0.7500 0.7500 Mg
0.5000 0.5000 0.5000 Nd
```

Output
Density of states at the Fermi level ... 1.172 states/eV per atom
Relative energy among the computed polymorphs ... 80.5 meV per atom
Formation energy ... 26 kJ/mol of formula units
E ... -3.164 eV/atom

***

[7]
# LaZnC2Br

A relaxed structure of LaZnC2Br (PBE, Alexandria via LeMat-Bulk).

Cell and atoms, written as POSCAR:
```
LaZnC2Br
1.0
-1.5400 -4.6333 -0.5757
2.4988 -1.4878 5.2896
-4.2020 1.1112 2.2976
C Zn La Br
2 1 1 1
direct
0.5000 0.0000 0.0000 C
0.0000 0.0000 0.5000 C
0.5000 0.5000 0.5000 Zn
0.0000 0.0000 0.0000 La
0.0000 0.5000 0.0000 Br
```

Output
Density of states at the Fermi level ... 0.757 states/eV per atom
E ... -3.642 eV/atom
Formation energy without anion corrections ... 1.62 eV per atom

***

[8]
# KHfH2Cl8

A relaxed structure of KHfH2Cl8 (PBE, Alexandria via LeMat-Bulk).

Cell and atoms, written as POSCAR:
```
KHfH2Cl8
1.0
6.3985 0.8723 0.0617
0.5093 7.5258 -1.8166
0.4873 -2.5390 8.5340
Hf Cl K H
1 8 1 2
direct
0.0000 0.0000 0.0000 Hf
0.8399 0.2418 0.9155 Cl
0.1262 0.7391 0.6905 Cl
0.3254 0.1359 0.0158 Cl
0.1601 0.7582 0.0845 Cl
0.8738 0.2609 0.3095 Cl
0.6746 0.8641 0.9842 Cl
0.3743 0.2600 0.6208 Cl
0.6257 0.7400 0.3792 Cl
0.0000 0.0000 0.5000 K
0.2843 0.4423 0.6481 H
0.7157 0.5577 0.3519 H
```

Output
E ... -3.943 eV/atom